Record 1
! RbV2Fe PBE relaxed; values from VASP
&SYSTEM
  ibrav = 0, nat = 8, ntyp = 3
/
ATOMIC_SPECIES
Fe 55.84 Fe.upf
Rb 85.47 Rb.upf
V 50.94 V.upf
ATOMIC_POSITIONS crystal
Fe 0.500 0.500 0.000
Fe 0.250 0.750 0.500
Rb 0.000 0.000 0.000
Rb 0.750 0.250 0.500
V 0.377 0.125 0.250
V 0.373 0.625 0.250
V 0.375 0.623 0.750
V 0.875 0.627 0.750
CELL_PARAMETERS angstrom
-4.337 -4.633 -2.559
0.255 -3.487 5.882
-6.135 -1.246 3.507
! Calculated formation energy ... 134.8 kJ/mol of atoms
! Total energy ... -5.52 eV/atom
! Space group ... I-42d (122)
! Polymorph energy (0 for the lowest one) ... 0 meV/atom
! N(E_F) ... 1.687 states/eV per atom

Record 2
! SrCeH2 PBE relaxed; values from VASP
&SYSTEM
  ibrav = 0, nat = 4, ntyp = 3
/
ATOMIC_SPECIES
Sr 87.62 Sr.upf
Ce 140.12 Ce.upf
H 1.01 H.upf
ATOMIC_POSITIONS crystal
Sr 0.492 0.492 0.523
Ce 0.668 0.668 0.995
H 0.070 0.070 0.790
H 0.269 0.269 0.192
CELL_PARAMETERS angstrom
-1.788 1.839 2.656
-2.326 -1.790 2.240
3.450 -1.164 5.694
! Total energy ... -3.75 eV/atom
! Space group ... R3m (160)
! Polymorph energy (0 for the lowest one) ... 61 meV/atom
! N(E_F) ... 1.636 states/eV per atom

Record 3
! TiSi2Ni2 PBE relaxed; values from VASP
&SYSTEM
  ibrav = 0, nat = 10, ntyp = 3
/
ATOMIC_SPECIES
Ni 58.69 Ni.upf
Si 28.09 Si.upf
Ti 47.87 Ti.upf
ATOMIC_POSITIONS crystal
Ni 0.145 0.645 0.500
Ni 0.645 0.855 0.500
Ni 0.855 0.355 0.500
Ni 0.355 0.145 0.500
Si 0.351 0.851 0.000
Si 0.851 0.649 0.000
Si 0.649 0.149 0.000
Si 0.149 0.351 0.000
Ti 0.000 0.000 0.000
Ti 0.500 0.500 0.000
CELL_PARAMETERS angstrom
6.887 0.000 0.000
0.000 6.887 0.000
0.000 0.000 2.607
! ΔE_f (raw) ... -0.516 eV/atom
! Total energy ... -6.58 eV/atom
! Space group ... P4/mbm (127)
! N(E_F) ... 0.597 states/eV per atom

Q: Which value of N(E_F) does entry 2 give?
A: 1.636 states/eV per atom